Record 1
Density functional theory data (GGA-PBE) for a relaxed LiLu2Al2O6 crystal.

Cell lengths 3.3313, 3.3313, 14.2497 Å; angles 90.00, 90.00, 120.00 degrees
Atoms (fractional coordinates):
Li 0.6667 0.3333 0.1163
Lu 0.0000 0.0000 0.9400
Lu 0.0000 0.0000 0.5300
Al 0.3333 0.6667 0.3249
Al 0.6667 0.3333 0.7358
O 0.3333 0.6667 0.0219
O 0.3333 0.6667 0.4558
O 0.0000 0.0000 0.3213
O 0.0000 0.0000 0.7371
O 0.6667 0.3333 0.8666
O 0.6667 0.3333 0.6059

total magnetization: 0.00 μB per formula unit
calculated total energy: -7.31 eV per atom
raw formation energy: -32.165 eV/f.u.

---

Record 2
Density functional theory data (GGA-PBE) for a relaxed LiLuPaAl crystal.

Cell lengths 5.0009, 5.0009, 5.0009 Å; angles 60.00, 60.00, 60.00 degrees
Atoms (fractional coordinates):
Pa 0.2500 0.2500 0.2500
Lu 0.7500 0.7500 0.7500
Al 0.5000 0.5000 0.5000
Li 0.0000 0.0000 0.0000

total magnetization: 0.00 μB per formula unit
E_form: 0.357 eV/f.u.
calculated total energy: -4.83 eV per atom

---

Record 3
Density functional theory data (GGA-PBE) for a relaxed LiPmLuAl crystal.

Cell lengths 5.1647, 5.1647, 5.1647 Å; angles 60.00, 60.00, 60.00 degrees
Atoms (fractional coordinates):
Lu 0.2500 0.2500 0.2500
Li 0.0000 0.0000 0.0000
Al 0.5000 0.5000 0.5000
Pm 0.7500 0.7500 0.7500

total magnetization: 0.00 μB per formula unit
E_form: -0.791 eV/f.u.
calculated total energy: -3.93 eV per atom

---

Record 4
Density functional theory data (GGA-PBE) for a relaxed LiPrLuAl crystal.

Cell lengths 5.2037, 5.2037, 5.2037 Å; angles 60.00, 60.00, 60.00 degrees
Atoms (fractional coordinates):
Pr 0.2500 0.2500 0.2500
Lu 0.7500 0.7500 0.7500
Al 0.5000 0.5000 0.5000
Li 0.0000 0.0000 0.0000

total magnetization: 0.00 μB per formula unit
E_form: -0.753 eV/f.u.
calculated total energy: -3.93 eV per atom

---

Record 5
Density functional theory data (GGA-PBE) for a relaxed LiLuAlPt crystal.

Cell lengths 4.6015, 4.6015, 4.6015 Å; angles 60.00, 60.00, 60.00 degrees
Atoms (fractional coordinates):
Lu 0.0000 0.0000 0.0000
Al 0.5000 0.5000 0.5000
Pt 0.7500 0.7500 0.7500
Li 0.2500 0.2500 0.2500

total magnetization: 0.00 μB per formula unit
E_form: -3.360 eV/f.u.
calculated total energy: -4.89 eV per atom

---

Record 6
Density functional theory data (GGA-PBE) for a relaxed LiLuPuAl crystal.

Cell lengths 5.0744, 5.0744, 5.0744 Å; angles 60.00, 60.00, 60.00 degrees
Last column: magnetic moment on the atom in μB.
Atoms (fractional coordinates):
Lu 0.2500 0.2500 0.2500  0.18
Li 0.0000 0.0000 0.0000  0.04
Al 0.5000 0.5000 0.5000  -0.04
Pu 0.7500 0.7500 0.7500  5.38

total magnetization: 6.01 μB per formula unit
E_form: -0.044 eV/f.u.
calculated total energy: -6.14 eV per atom

---

Record 7
Density functional theory data (GGA-PBE) for a relaxed LiLuScAl crystal.

Cell lengths 4.9417, 4.9417, 4.9417 Å; angles 60.00, 60.00, 60.00 degrees
Atoms (fractional coordinates):
Sc 0.2500 0.2500 0.2500
Lu 0.7500 0.7500 0.7500
Al 0.5000 0.5000 0.5000
Li 0.0000 0.0000 0.0000

total magnetization: 0.00 μB per formula unit
E_form: -0.827 eV/f.u.
calculated total energy: -4.33 eV per atom

---

Record 8
Density functional theory data (GGA-PBE) for a relaxed SrLiLuAl crystal.

Cell lengths 5.3555, 5.3555, 5.3555 Å; angles 60.00, 60.00, 60.00 degrees
Atoms (fractional coordinates):
Sr 0.2500 0.2500 0.2500
Lu 0.7500 0.7500 0.7500
Al 0.5000 0.5000 0.5000
Li 0.0000 0.0000 0.0000

total magnetization: 0.00 μB per formula unit
E_form: -0.144 eV/f.u.
calculated total energy: -3.00 eV per atom